The following is a DFT calculation (PBE-GGA) of an optimized crystal structure of NaSbP2O.

a b c (Å): 5.271 5.271 3.965
angles (deg): 90.00 90.00 90.00
Space group P4/mmm (No. 123)
Symmetry-distinct sites (fractional):
Na 0.000 0.000 0.000
Sb 0.500 0.500 0.500
P 0.000 0.500 0.500
O 0.500 0.500 0.000

DOS at the Fermi energy in states/eV/atom: 0.81
Excess energy over the best structure of this formula in the dataset in eV per atom: 0.000
Crystal system: tetragonal
Raw formation energy in kJ per mole of atoms: 19.4